# 1
First-principles (GGA-PBE) data for an optimized crystal structure of TbAl2Ni3, as listed in the Alexandria database.

For the formation energy, the calculation gives -0.5257 eV/atom.

The space group is Cmcm (No. 63) and the conventional cell measures 9.342, 7.616 and 5.206 Å, with angles of 90.00, 90.00 and 90.00 degrees. The asymmetric unit holds Tb at (0.000, 0.182, 0.250), Al at (0.218, 0.500, 0.000), Ni at (0.000, 0.458, 0.750) and Ni at (0.158, 0.215, 0.750).

# 2
First-principles (GGA-PBE) data for an optimized crystal structure of PrNd3Pd2, as listed in the Alexandria database.

For the formation energy, the calculation gives -0.4137 eV/atom. The excess energy over the best structure of this formula in the dataset comes out at 65 meV per atom.

The space group is Ibam (No. 72) and the conventional cell measures 7.169, 14.217 and 7.325 Å, with angles of 90.00, 90.00 and 90.00 degrees. The asymmetric unit holds Pr at (0.000, 0.000, 0.000), Nd at (0.000, 0.235, 0.250), Nd at (0.000, 0.500, 0.250) and Pd at (0.207, 0.360, 0.000).

# 3
First-principles (GGA-PBE) data for an optimized crystal structure of LaCd7Cu5, as listed in the Alexandria database.

For the formation energy, the calculation gives -0.0844 eV/atom.

The space group is Imm2 (No. 44) and the conventional cell measures 5.311, 9.601 and 9.616 Å, with angles of 90.00, 90.00 and 90.00 degrees. The asymmetric unit holds La at (0.000, 0.000, 0.000), Cd at (0.000, 0.000, 0.351), Cd at (0.000, 0.000, 0.665), Cd at (0.000, 0.291, 0.511), Cd at (0.000, 0.347, 0.020), Cd at (0.000, 0.500, 0.734), Cu at (0.000, 0.500, 0.293) and Cu at (0.250, 0.239, 0.766).